1.
First-principles (SCAN) data for BaTl2Pb at its PBEsol-relaxed geometry, as listed in Alexandria via LeMat-Bulk.

Cell: 5.8983 5.8983 5.8983 Å, 126.80 126.80 78.59°
Element x y z (fractional)
Ba 0.0000 0.0000 0.0000
Tl 0.2500 0.7500 0.5000
Tl 0.5000 0.5000 0.0000
Pb 0.7500 0.2500 0.5000

Results
symmetry: I-4m2
magnetic moment: 0.0 μB per formula unit
energy of formation: -0.38 eV/atom
E_tot: -65.39 eV per atom

***

2.
First-principles (SCAN) data for BaTlPb2 at its PBEsol-relaxed geometry, as listed in Alexandria via LeMat-Bulk.

Cell: 6.4998 6.4998 6.4998 Å, 136.49 134.68 64.63°
Element x y z (fractional)
Ba 0.0000 0.0000 0.0000
Tl 0.7240 0.2240 0.5000
Pb 0.2343 0.7343 0.5000
Pb 0.4211 0.4211 0.0000

Results
symmetry: Imm2
magnetic moment: 0.0 μB per formula unit
energy of formation: -0.47 eV/atom
E_tot: -66.34 eV per atom

***

3.
First-principles (SCAN) data for BaTl2Pb at its PBEsol-relaxed geometry, as listed in Alexandria via LeMat-Bulk.

Cell: 3.8474 4.3740 7.5836 Å, 90.00 90.00 90.00°
Element x y z (fractional)
Ba 0.0000 0.0000 0.0000
Tl 0.0000 0.0000 0.5031
Tl 0.5000 0.5000 0.7113
Pb 0.5000 0.5000 0.2964

Results
symmetry: Pmm2
magnetic moment: 0.0 μB per formula unit
energy of formation: -0.35 eV/atom
E_tot: -65.36 eV per atom